(1)
Compound: Pr3GaSi2Ni9
Source: the Alexandria database
Functional: PBE-GGA
Structure: relaxed

Structure (POSCAR):
```
Pr3GaSi2Ni9
1.0
5.922 0.000 0.000
-2.961 5.128 0.000
0.000 0.000 8.522
Pr Ga Si Ni
3 1 2 9
direct
0.333 0.667 0.660
0.000 0.000 0.000
0.667 0.333 0.340
0.000 0.000 0.500
0.333 0.667 0.178
0.667 0.333 0.822
0.860 0.140 0.719
0.860 0.721 0.719
0.279 0.140 0.719
0.721 0.860 0.281
0.140 0.279 0.281
0.140 0.860 0.281
0.500 0.000 0.000
0.000 0.500 0.000
0.500 0.500 0.000
```

Crystal system: trigonal
ΔE_f (raw): -0.28 eV per atom
E_tot: -0.4138 Ry/atom
Fermi-level density of states: 8.15 states/eV/f.u.

***

(2)
Compound: PrGa2SiNi4
Source: the Alexandria database
Functional: PBE-GGA
Structure: relaxed

Structure (POSCAR):
```
PrGa2SiNi4
1.0
4.054 0.000 0.000
2.027 3.511 0.000
2.027 1.170 8.492
Pr Ga Si Ni
1 2 1 4
direct
0.000 0.000 0.000
0.757 0.757 0.728
0.243 0.243 0.272
0.500 0.500 0.500
0.412 0.412 0.765
0.861 0.861 0.417
0.139 0.139 0.583
0.588 0.588 0.235
```

Crystal system: trigonal
ΔE_f (raw): -0.48 eV per atom
E_tot: -0.3968 Ry/atom
Fermi-level density of states: 5.78 states/eV/f.u.

***

(3)
Compound: PrGaSiNi3
Source: the Alexandria database
Functional: PBE-GGA
Structure: relaxed

Structure (POSCAR):
```
PrGaSiNi3
1.0
-3.853 -2.459 3.134
1.217 -5.462 -2.789
3.383 1.577 5.396
Pr Ga Si Ni
2 2 2 6
direct
0.750 0.281 0.562
0.250 0.719 0.438
0.250 0.979 0.958
0.750 0.021 0.042
0.250 0.380 0.760
0.750 0.620 0.240
0.250 0.184 0.367
0.000 0.303 0.000
0.500 0.697 0.000
0.500 0.303 0.000
0.000 0.697 0.000
0.750 0.816 0.633
```

Crystal system: orthorhombic
ΔE_f (raw): -0.39 eV per atom
E_tot: -0.4034 Ry/atom
Fermi-level density of states: 3.22 states/eV/f.u.

***

(4)
Compound: Pr2GaSiNi6
Source: the Alexandria database
Functional: PBE-GGA
Structure: relaxed

Structure (POSCAR):
```
Pr2GaSiNi6
1.0
-2.641 -2.651 5.130
5.395 0.001 2.773
0.664 2.773 5.353
Pr Ga Si Ni
2 1 1 6
direct
0.650 0.217 0.567
0.350 0.783 0.433
0.500 0.500 0.000
0.000 0.000 0.000
0.138 0.245 0.509
0.862 0.754 0.893
0.139 0.648 0.107
0.861 0.352 0.893
0.138 0.246 0.107
0.862 0.755 0.491
```

Crystal system: monoclinic
ΔE_f (raw): -0.39 eV per atom
E_tot: -0.4157 Ry/atom
Fermi-level density of states: 6.94 states/eV/f.u.

***

(5)
Compound: PrGaSiNi6
Source: the Alexandria database
Functional: PBE-GGA
Structure: relaxed

Structure (POSCAR):
```
PrGaSiNi6
1.0
-1.646 -4.738 -5.527
-1.819 -3.411 3.466
-4.315 6.776 0.516
Pr Ga Si Ni
2 2 2 12
direct
0.745 0.495 0.490
0.255 0.505 0.510
0.500 0.000 0.500
0.000 0.000 0.500
0.500 0.500 0.000
0.500 0.000 0.000
0.638 0.888 0.277
0.004 0.254 0.007
0.862 0.096 0.184
0.322 0.588 0.184
0.322 0.096 0.184
0.862 0.588 0.184
0.362 0.112 0.723
0.996 0.746 0.993
0.138 0.904 0.816
0.678 0.412 0.816
0.678 0.904 0.816
0.138 0.412 0.816
```

Crystal system: orthorhombic
ΔE_f (raw): -0.27 eV per atom
E_tot: -0.4108 Ry/atom
Fermi-level density of states: 7.62 states/eV/f.u.

***

(6)
Compound: PrGa2Ni5Sn
Source: the Alexandria database
Functional: PBE-GGA
Structure: relaxed

Structure (POSCAR):
```
PrGa2Ni5Sn
1.0
-0.619 -3.419 -2.841
4.420 -0.170 -0.758
0.759 -4.690 5.478
Pr Ga Ni Sn
1 2 5 1
direct
0.000 0.000 0.500
0.500 0.500 0.171
0.500 0.500 0.829
0.000 0.500 0.250
0.500 0.000 0.250
0.000 0.500 0.750
0.500 0.000 0.750
0.500 0.500 0.500
0.000 0.000 0.000
```

E_form: -0.07 eV/atom
Crystal system: tetragonal
E_tot: -0.3622 Ry/atom
Fermi-level density of states: 6.77 states/eV/f.u.